VASP calculation (GGA+U) on a geometry-optimized BaFeO2F structure.

Cell: 6.706 6.706 7.080 Å, 90.00 90.00 146.97°
Sites, in units of the cell vectors:
Ba (0.215, 0.785, 0.750)
Ba (0.785, 0.215, 0.250)
Fe (0.500, 0.500, 0.000)
Fe (0.500, 0.500, 0.500)
O (0.362, 0.638, 0.019)
O (0.362, 0.638, 0.481)
O (0.638, 0.362, 0.519)
O (0.638, 0.362, 0.981)
F (0.003, 0.997, 0.250)
F (0.997, 0.003, 0.750)

Summary:
Theoretical density (g cm⁻³): 4.7
DFT total energy (eV/atom): -5.9259
Total magnetization (μB/atom): 0.9973
SG: Cmcm